Computed, not measured: a PBEsol-optimized structure of CsTlIn2Ag at the SCAN level of DFT.

Cell and atoms, written as CIF:
```
data_CsTlIn2Ag
_chemical_formula_sum 'Cs1 Tl1 In2 Ag1'
_space_group_name_H-M_alt 'P 1'
_space_group_IT_number 1
_space_group_name_Hall 'P 1'
_cell_length_a 5.2882
_cell_length_b 5.2882
_cell_length_c 6.2923
_cell_angle_alpha 90.00
_cell_angle_beta 90.00
_cell_angle_gamma 90.00
loop_
_atom_site_label
_atom_site_type_symbol
_atom_site_fract_x
_atom_site_fract_y
_atom_site_fract_z
In1 In 0.0000 0.5000 0.0000
In2 In 0.5000 0.0000 0.0000
Ag1 Ag 0.0000 0.0000 0.0000
Tl1 Tl 0.5000 0.5000 0.5000
Cs1 Cs 0.0000 0.0000 0.5000
```

- energy relative to the elements (eV per atom) = 0.182


Computed, not measured: a PBEsol-optimized structure of CsAg2IrW at the SCAN level of DFT.

Cell and atoms, written as CIF:
```
data_CsAg2IrW
_chemical_formula_sum 'Cs1 Ag2 Ir1 W1'
_space_group_name_H-M_alt 'P 1'
_space_group_IT_number 1
_space_group_name_Hall 'P 1'
_cell_length_a 4.7091
_cell_length_b 5.2779
_cell_length_c 5.2779
_cell_angle_alpha 90.00
_cell_angle_beta 90.00
_cell_angle_gamma 90.00
loop_
_atom_site_label
_atom_site_type_symbol
_atom_site_fract_x
_atom_site_fract_y
_atom_site_fract_z
Ir1 Ir 0.0000 0.0000 0.0000
Ag1 Ag 0.0000 0.5000 0.0000
Ag2 Ag 0.0000 0.0000 0.5000
W1 W 0.5000 0.0000 0.0000
Cs1 Cs 0.5000 0.5000 0.5000
```

- energy relative to the elements (eV per atom) = 1.038


Computed, not measured: a PBEsol-optimized structure of CsK3Ag at the SCAN level of DFT.

Cell and atoms, written as CIF:
```
data_CsK3Ag
_chemical_formula_sum 'Cs1 K3 Ag1'
_space_group_name_H-M_alt 'P 1'
_space_group_IT_number 1
_space_group_name_Hall 'P 1'
_cell_length_a 7.6982
_cell_length_b 7.6982
_cell_length_c 7.6982
_cell_angle_alpha 90.00
_cell_angle_beta 90.00
_cell_angle_gamma 90.00
loop_
_atom_site_label
_atom_site_type_symbol
_atom_site_fract_x
_atom_site_fract_y
_atom_site_fract_z
K1 K 0.0000 0.5000 0.0000
K2 K 0.0000 0.0000 0.5000
K3 K 0.5000 0.0000 0.0000
Ag1 Ag 0.5000 0.5000 0.5000
Cs1 Cs 0.0000 0.0000 0.0000
```

- energy relative to the elements (eV per atom) = 0.740
- distance to the lowest polymorph of the same formula (eV per atom) = 0.667


| no. | VASP energy (eV for the cell shown) |
| --- | --- |
| 1 | -207.40 |
| 2 | -236.14 |
| 3 | -90.47 |